The following is a PBE-GGA calculation of HgSbTeI after structural relaxation, from the Alexandria database.

Summary:
The calculation puts the final energy at -2.46 eV per atom. Its space group is No. 8. Its energy relative to the elements, uncorrected is -17.6 kJ per mole of atoms.

Cell and atoms, written as extended XYZ:
```
4
Lattice="6.389 1.212 0.473 4.212 4.954 0.473 0.248 0.144 5.825" Properties=species:S:1:pos:R:3 pbc="T T T"
Te 6.244 3.632 2.658
Sb 1.881 1.094 0.452
Hg 3.958 2.302 1.799
I 9.008 5.240 5.003
```



The following is a PBE-GGA calculation of TlHgSb2I after structural relaxation, from the Alexandria database.

Summary:
The calculation puts the final energy at -1.90 eV per atom. Its space group is No. 123. Its energy relative to the elements, uncorrected is 57.5 kJ per mole of atoms. The calculation puts the relative energy among the computed polymorphs at 99 kJ/mol of formula units. The density of states at the Fermi level is 3.3 states/eV per cell.

Cell and atoms, written as extended XYZ:
```
5
Lattice="5.850 0.000 0.000 0.000 5.850 0.000 0.000 0.000 6.326" Properties=species:S:1:pos:R:3 pbc="T T T"
Tl 0.000 0.000 0.000
Sb 0.000 2.925 0.000
Sb 2.925 0.000 0.000
I 0.000 0.000 3.163
Hg 2.925 2.925 3.163
```



The following is a PBE-GGA calculation of TlHgSbI2 after structural relaxation, from the Alexandria database.

Summary:
The calculation puts the final energy at -1.87 eV per atom. Its space group is No. 123. Its energy relative to the elements, uncorrected is 10.5 kJ per mole of atoms. The calculation puts the relative energy among the computed polymorphs at 0 kJ/mol of formula units. The density of states at the Fermi level is 2.1 states/eV per cell.

Cell and atoms, written as extended XYZ:
```
5
Lattice="6.261 0.000 0.000 0.000 6.261 0.000 0.000 0.000 5.561" Properties=species:S:1:pos:R:3 pbc="T T T"
Hg 0.000 0.000 0.000
I 0.000 3.130 0.000
I 3.130 0.000 0.000
Tl 3.130 3.130 2.781
Sb 0.000 0.000 2.781
```



The following is a PBE-GGA calculation of TlHgSbI2 after structural relaxation, from the Alexandria database.

Summary:
The calculation puts the final energy at -1.72 eV per atom. Its space group is No. 123. Its energy relative to the elements, uncorrected is 24.9 kJ per mole of atoms. The calculation puts the relative energy among the computed polymorphs at 72 kJ/mol of formula units. The density of states at the Fermi level is 2.5 states/eV per cell.

Cell and atoms, written as extended XYZ:
```
5
Lattice="-1.677 0.345 -5.949 -0.741 -5.900 -0.133 -5.909 0.704 1.707" Properties=species:S:1:pos:R:3 pbc="T T T"
I -2.954 0.352 0.853
I -0.839 0.173 -2.974
Hg -4.164 -2.425 -2.188
Tl 0.000 0.000 0.000
Sb -0.371 -2.950 -0.067
```



The following is a PBE-GGA calculation of TlHgSb2I after structural relaxation, from the Alexandria database.

Summary:
The calculation puts the final energy at -2.10 eV per atom. Its space group is No. 123. Its energy relative to the elements, uncorrected is 37.7 kJ per mole of atoms. The calculation puts the relative energy among the computed polymorphs at 0 kJ/mol of formula units. The density of states at the Fermi level is 4.3 states/eV per cell.

Cell and atoms, written as extended XYZ:
```
5
Lattice="-2.811 -4.296 2.170 2.254 1.046 4.989 -5.046 4.026 1.436" Properties=species:S:1:pos:R:3 pbc="T T T"
Sb -1.405 -2.148 1.085
Sb 1.127 0.523 2.494
I -2.523 2.013 0.718
Hg 0.000 0.000 0.000
Tl -2.801 0.388 4.297
```



The following is a PBE-GGA calculation of VHgSbI2 after structural relaxation, from the Alexandria database.

Summary:
The calculation puts the final energy at -3.12 eV per atom. Its space group is No. 123. Its energy relative to the elements, uncorrected is 20.6 kJ per mole of atoms. The calculation puts the relative energy among the computed polymorphs at 0 kJ/mol of formula units. The density of states at the Fermi level is 5.0 states/eV per cell.

Cell and atoms, written as extended XYZ:
```
5
Lattice="-3.021 1.530 4.313 0.247 -5.106 1.984 4.370 1.231 2.624" Properties=species:S:1:pos:R:3 pbc="T T T"
Sb 2.185 0.616 1.312
V 0.000 0.000 0.000
Hg 0.798 -1.173 4.461
I 0.124 -2.553 0.992
I -1.511 0.765 2.157
```